A geometry-optimized AcTh2Co6 structure. Source: the Alexandria database, functional PBE.

Structure (POSCAR):
```
AcTh2Co6
1.0
4.077 0.000 0.000
0.000 5.987 -3.457
0.000 0.000 6.913
Ac Th Co
1 2 6
Direct
0.000 0.000 0.000
0.000 0.333 0.667
0.000 0.667 0.333
0.500 0.338 0.338
0.500 0.662 0.662
0.500 0.000 0.662
0.500 0.662 0.000
0.500 0.338 0.000
0.500 0.000 0.338
```

Results
The total DFT energy (no corrections) comes out at -62.7 eV per cell.